# 1
DyHoGaAu: optimized geometry, PBE.

Computed properties:
Energy of formation from the pure elements (kJ/mol of formula units): -280

Cell: 3.783 4.516 5.879 Å, 90.00 108.77 90.00°
Fractional positions:
Au 0.581 0.500 0.162
Dy 0.856 0.500 0.712
Ga 0.419 0.000 0.838
Ho 0.144 0.000 0.288

=====

# 2
PmPrAl2: optimized geometry, PBE.

Computed properties:
Energy of formation from the pure elements (kJ/mol of formula units): -136

Cell: 3.733 3.733 7.452 Å, 90.00 90.00 90.00°
Fractional positions:
Pr 0.500 0.500 0.500
Al 0.000 0.000 0.757
Al 0.000 0.000 0.243
Pm 0.500 0.500 0.000

=====

# 3
InPd5Au8: optimized geometry, PBE.

Computed properties:
Energy of formation from the pure elements (kJ/mol of formula units): 16

Cell: 6.940 6.940 6.940 Å, 110.09 108.24 110.09°
Fractional positions:
Au 0.647 0.398 0.917
Au 0.083 0.730 0.481
Au 0.934 0.069 0.642
In 0.250 0.500 0.750
Pd 0.800 0.687 0.713
Pd 0.887 0.913 0.200
Au 0.135 0.709 0.066
Pd 0.500 0.000 0.500
Pd 0.287 0.087 0.974
Au 0.519 0.602 0.249
Au 0.751 0.270 0.353
Pd 0.026 0.313 0.113
Au 0.574 0.931 0.865
Au 0.358 0.291 0.426

=====

# 4
Pm5Zn6: optimized geometry, PBE.

Computed properties:
Energy of formation from the pure elements (kJ/mol of formula units): -181

Cell: 5.094 7.281 8.842 Å, 114.31 106.74 90.02°
Fractional positions:
Zn 0.837 0.082 0.674
Pm 0.671 0.671 0.342
Pm 0.000 0.500 0.000
Zn 0.837 0.592 0.674
Zn 0.163 0.918 0.326
Zn 0.163 0.408 0.326
Zn 0.500 0.268 0.000
Pm 0.329 0.329 0.658
Pm 0.654 0.154 0.308
Zn 0.500 0.732 0.000
Pm 0.346 0.846 0.692

=====

# 5
Dy5Te2Au: optimized geometry, PBE.

Computed properties:
Energy relative to the elements, uncorrected (eV/atom): -0.62

Cell: 5.944 7.006 12.978 Å, 90.00 90.00 115.10°
Fractional positions:
Te 0.808 0.616 0.417
Te 0.808 0.616 0.083
Dy 0.948 0.896 0.887
Dy 0.388 0.775 0.078
Dy 0.948 0.896 0.613
Dy 0.365 0.730 0.750
Au 0.768 0.535 0.750
Dy 0.612 0.225 0.578
Te 0.192 0.384 0.917
Au 0.232 0.465 0.250
Dy 0.635 0.270 0.250
Dy 0.052 0.104 0.387
Dy 0.052 0.104 0.113
Te 0.192 0.384 0.583
Dy 0.388 0.775 0.422
Dy 0.612 0.225 0.922

=====

# 6
La2CuPb: optimized geometry, PBE.

Computed properties:
Energy of formation from the pure elements (kJ/mol of formula units): 38

Cell: 5.364 5.364 5.364 Å, 60.00 60.00 60.00°
Fractional positions:
La 0.000 0.000 0.000
La 0.250 0.250 0.250
Pb 0.750 0.750 0.750
Cu 0.500 0.500 0.500

=====

# 7
MgBeHg: optimized geometry, PBE.

Computed properties:
Energy of formation from the pure elements (kJ/mol of formula units): 38

Cell: 4.847 3.862 11.795 Å, 90.00 104.46 90.00°
Fractional positions:
Hg 0.763 0.500 0.589
Mg 0.692 0.500 0.876
Be 0.880 0.500 0.229
Mg 0.308 0.000 0.624
Mg 0.308 0.500 0.124
Be 0.880 0.000 0.729
Be 0.120 0.000 0.271
Hg 0.237 0.500 0.411
Hg 0.763 0.000 0.089
Be 0.120 0.500 0.771
Hg 0.237 0.000 0.911
Mg 0.692 0.000 0.376

=====

# 8
LaY2Zr2: optimized geometry, PBE.

Computed properties:
Energy of formation from the pure elements (kJ/mol of formula units): 79

Cell: 9.184 9.184 3.558 Å, 90.00 90.00 90.00°
Last column: magnetic moment on the atom in μB.
Fractional positions:
La 0.500 0.500 0.000  0.10
La 0.000 0.000 0.000  0.10
Zr 0.887 0.613 0.000  0.04
Y 0.678 0.822 0.500  0.01
Y 0.322 0.178 0.500  0.01
Y 0.822 0.322 0.500  0.01
Zr 0.113 0.387 0.000  0.04
Y 0.178 0.678 0.500  0.01
Zr 0.613 0.113 0.000  0.05
Zr 0.387 0.887 0.000  0.05

=====

# 9
Be2V3N: optimized geometry, PBE.

Computed properties:
Energy relative to the elements, uncorrected (eV/atom): -0.60

Cell: 6.317 6.317 6.317 Å, 90.00 90.00 90.00°
Fractional positions:
V 0.543 0.625 0.293
V 0.707 0.043 0.875
Be 0.924 0.576 0.424
Be 0.424 0.924 0.576
Be 0.674 0.674 0.674
V 0.793 0.957 0.375
V 0.375 0.793 0.957
V 0.875 0.707 0.043
V 0.957 0.375 0.793
V 0.625 0.293 0.543
Be 0.576 0.424 0.924
Be 0.326 0.174 0.826
Be 0.076 0.076 0.076
V 0.125 0.207 0.457
N 0.875 0.125 0.625
N 0.375 0.375 0.375
V 0.293 0.543 0.625
Be 0.174 0.826 0.326
Be 0.826 0.326 0.174
N 0.625 0.875 0.125
V 0.043 0.875 0.707
V 0.457 0.125 0.207
V 0.207 0.457 0.125
N 0.125 0.625 0.875

=====

# 10
Cs2SeF5: optimized geometry, PBE.

Computed properties:
Energy relative to the elements, uncorrected (eV/atom): -2.14

Cell: 6.537 6.537 6.486 Å, 120.26 120.26 90.00°
Last column: magnetic moment on the atom in μB.
Fractional positions:
Se 0.006 0.006 0.011  0.41
F 0.791 0.791 0.008  0.03
F 0.217 0.791 0.008  0.03
F 0.217 0.217 0.008  0.03
F 0.791 0.217 0.008  0.03
Cs 0.249 0.749 0.498  0.00
F 0.757 0.757 0.514  0.23
Cs 0.749 0.249 0.498  0.00

=====

# 11
PmNpIr2: optimized geometry, PBE.

Computed properties:
Energy of formation from the pure elements (kJ/mol of formula units): -171

Cell: 4.433 5.899 7.399 Å, 115.15 90.00 90.00°
Last column: magnetic moment on the atom in μB.
Fractional positions:
Ir 0.750 0.160 0.782  -0.17
Ir 0.750 0.284 0.397  -0.24
Pm 0.250 0.277 0.094  0.06
Pm 0.750 0.723 0.906  0.06
Ir 0.250 0.840 0.218  -0.17
Ir 0.250 0.716 0.603  -0.24
Np 0.750 0.759 0.402  3.17
Np 0.250 0.241 0.598  3.17

=====

# 12
Ca2DyTl: optimized geometry, PBE.

Computed properties:
Energy of formation from the pure elements (kJ/mol of formula units): -65

Cell: 5.236 4.859 4.859 Å, 90.00 90.00 90.00°
Fractional positions:
Ca 0.000 0.500 0.000
Ca 0.000 0.000 0.500
Tl 0.500 0.500 0.500
Dy 0.500 0.000 0.000